1.
Entry from Alexandria: a relaxed ZrTl4Ag crystal (GGA-PBE).

Calculated values
N(E_F) = 28.3 states/eV/cell
V = 27.364 Å³ per atom
Mass density = 10.282 g cm⁻³

abc: 8.6922 8.6922 8.6922
angles: 90.00 90.00 90.00
Space group F-43m (No. 216)
One atom of each set of equivalent atoms:
Zr  0.0000  0.0000  0.0000 [4 per cell]
Tl  0.1250  0.1250  0.3750 [16 per cell]
Ag  0.2500  0.2500  0.7500 [4 per cell]

2.
Entry from Alexandria: a relaxed Zr2TlAg crystal (GGA-PBE).

Calculated values
N(E_F) = 4.3 states/eV/cell
V = 21.590 Å³ per atom
Mass density = 9.512 g cm⁻³

abc: 3.1692 5.1244 5.3177
angles: 90.00 90.00 90.00
Space group Pmm2 (No. 25)
One atom of each set of equivalent atoms:
Zr  0.0000  0.0000  0.0000 [1 per cell]
Zr  0.0000  0.5000  0.3779 [1 per cell]
Tl  0.5000  0.0000  0.5049 [1 per cell]
Ag  0.5000  0.5000  0.8722 [1 per cell]

3.
Entry from Alexandria: a relaxed ZrTlAg crystal (GGA-PBE).

Calculated values
N(E_F) = 5.2 states/eV/cell
V = 21.578 Å³ per atom
Mass density = 10.350 g cm⁻³

abc: 3.1323 5.4028 8.1060
angles: 74.41 78.89 90.00
Space group P-1 (No. 2)
One atom of each set of equivalent atoms:
Zr  0.0792  0.2888  0.3419 [2 per cell]
Tl  0.4015  0.1958  0.6976 [2 per cell]
Ag  0.2552  0.7290  0.9898 [2 per cell]

4.
Entry from Alexandria: a relaxed Zr2TlAg crystal (GGA-PBE).

Calculated values
N(E_F) = 3.2 states/eV/cell
V = 22.077 Å³ per atom
Mass density = 9.302 g cm⁻³

abc: 5.3726 3.1845 5.4389
angles: 90.00 108.38 90.00
Space group P2/m (No. 10)
One atom of each set of equivalent atoms:
Zr  0.0000  0.0000  0.0000 [1 per cell]
Zr  0.5000  0.5000  0.0000 [1 per cell]
Tl  0.0000  0.5000  0.5000 [1 per cell]
Ag  0.5000  0.0000  0.5000 [1 per cell]

5.
Entry from Alexandria: a relaxed ZrTlAg2 crystal (GGA-PBE).

Calculated values
N(E_F) = 2.4 states/eV/cell
V = 21.042 Å³ per atom
Mass density = 10.088 g cm⁻³

abc: 3.6951 4.7523 4.7932
angles: 90.00 90.00 90.00
Space group Pmmm (No. 47)
One atom of each set of equivalent atoms:
Zr  0.0000  0.0000  0.0000 [1 per cell]
Tl  0.5000  0.5000  0.0000 [1 per cell]
Ag  0.0000  0.5000  0.5000 [1 per cell]
Ag  0.5000  0.0000  0.5000 [1 per cell]

6.
Entry from Alexandria: a relaxed ZrTlAg2 crystal (GGA-PBE).

Calculated values
N(E_F) = 1.9 states/eV/cell
V = 20.884 Å³ per atom
Mass density = 10.164 g cm⁻³

abc: 3.0106 4.5540 6.2674
angles: 90.00 103.54 90.00
Space group Pm (No. 6)
One atom of each set of equivalent atoms:
Zr  0.0000  0.0000  0.0000 [1 per cell]
Tl  0.3872  0.5000  0.7663 [1 per cell]
Ag  0.2419  0.0000  0.4801 [1 per cell]
Ag  0.6387  0.5000  0.2731 [1 per cell]

7.
Entry from Alexandria: a relaxed Zr2TlAg crystal (GGA-PBE).

Calculated values
N(E_F) = 15.2 states/eV/cell
V = 22.253 Å³ per atom
Mass density = 9.229 g cm⁻³

abc: 3.1832 3.1832 30.4309
angles: 90.00 90.00 120.00
Space group R-3m (No. 166, hexagonal axes)
One atom of each set of equivalent atoms:
Zr  0.0000  0.0000  0.2465 [6 per cell]
Tl  0.0000  0.0000  0.0000 [3 per cell]
Ag  0.0000  0.0000  0.5000 [3 per cell]

8.
Entry from Alexandria: a relaxed Zr2Tl2Ag crystal (GGA-PBE).

Calculated values
N(E_F) = 12.7 states/eV/cell
V = 24.437 Å³ per atom
Mass density = 9.501 g cm⁻³

abc: 8.5770 8.5770 3.3219
angles: 90.00 90.00 90.00
Space group P4/mbm (No. 127)
One atom of each set of equivalent atoms:
Zr  0.1234  0.3766  0.0000 [4 per cell]
Tl  0.1781  0.6781  0.5000 [4 per cell]
Ag  0.0000  0.0000  0.0000 [2 per cell]

9.
Entry from Alexandria: a relaxed ZrTlAg crystal (GGA-PBE).

Calculated values
N(E_F) = 4.3 states/eV/cell
V = 21.872 Å³ per atom
Mass density = 10.211 g cm⁻³

abc: 4.7229 3.3024 8.4199
angles: 90.00 92.13 90.00
Space group P2_1/m (No. 11)
One atom of each set of equivalent atoms:
Zr  0.2194  0.2500  0.1110 [2 per cell]
Tl  0.2721  0.2500  0.7527 [2 per cell]
Ag  0.2438  0.7500  0.4461 [2 per cell]

10.
Entry from Alexandria: a relaxed ZrTlAg crystal (GGA-PBE).

Calculated values
N(E_F) = 18.4 states/eV/cell
V = 21.512 Å³ per atom
Mass density = 10.381 g cm⁻³

abc: 9.3209 4.4814 6.3192
angles: 90.00 102.04 90.00
Space group Cm (No. 8)
One atom of each set of equivalent atoms:
Zr  0.0000  0.0000  0.0000 [2 per cell]
Zr  0.1680  0.5000  0.3297 [2 per cell]
Tl  0.1600  0.5000  0.8141 [2 per cell]
Tl  0.3397  0.0000  0.1857 [2 per cell]
Ag  0.9995  0.0000  0.5062 [2 per cell]
Ag  0.3282  0.0000  0.6633 [2 per cell]

11.
Entry from Alexandria: a relaxed Zr2TlAg crystal (GGA-PBE).

Calculated values
N(E_F) = 19.4 states/eV/cell
V = 23.246 Å³ per atom
Mass density = 8.835 g cm⁻³

abc: 7.9636 7.9636 5.8647
angles: 90.00 90.00 90.00
Space group I-42d (No. 122)
One atom of each set of equivalent atoms:
Zr  0.2357  0.2500  0.1250 [8 per cell]
Tl  0.0000  0.0000  0.5000 [4 per cell]
Ag  0.0000  0.0000  0.0000 [4 per cell]

12.
Entry from Alexandria: a relaxed ZrTlAg3 crystal (GGA-PBE).

Calculated values
N(E_F) = 4.2 states/eV/cell
V = 31.582 Å³ per atom
Mass density = 6.511 g cm⁻³

abc: 5.4051 5.4051 5.4051
angles: 90.00 90.00 90.00
Space group Pm-3m (No. 221)
One atom of each set of equivalent atoms:
Zr  0.0000  0.0000  0.0000 [1 per cell]
Tl  0.5000  0.5000  0.5000 [1 per cell]
Ag  0.0000  0.0000  0.5000 [3 per cell]

| no. | electronic total energy (eV/atom) |
| --- | --- |
| 1 | -2.926 |
| 2 | -5.590 |
| 3 | -4.558 |
| 4 | -5.531 |
| 5 | -4.065 |
| 6 | -4.081 |
| 7 | -5.477 |
| 8 | -4.696 |
| 9 | -4.563 |
| 10 | -4.559 |
| 11 | -5.287 |
| 12 | -2.953 |